Entry from Alexandria via LeMat-Bulk: a geometry-optimized La5As structure (GGA-PBEsol).

Values from the calculation:
Fermi-level density of states   7.0 states/eV/f.u.
Energy relative to the elements   -349 meV/atom
Volume   177 Å³ per cell

Cell: 4.7738 4.7850 8.1278 Å, 90.00 107.08 90.00°
Atoms (fractional coordinates):
As 0.5000 0.0000 0.0000
La 0.3497 0.5000 0.6993
La 0.1542 0.0000 0.3085
La 0.0000 0.5000 0.0000
La 0.8458 0.0000 0.6915
La 0.6503 0.5000 0.3007

Entry from Alexandria via LeMat-Bulk: a geometry-optimized LaAs structure (GGA-PBEsol).

Values from the calculation:
Fermi-level density of states   2.1 states/eV/f.u.
Energy relative to the elements   -638 meV/atom
Volume   121 Å³ per cell

Cell: 4.4641 4.4641 7.4913 Å, 72.67 72.67 60.00°
Atoms (fractional coordinates):
As 0.3338 0.3338 0.9986
As 0.6662 0.6662 0.0014
La 0.0863 0.0863 0.7412
La 0.9137 0.9137 0.2588